1.
The following is a DFT calculation (PBE) of crystalline Zr2TaNb4 at its relaxed geometry.

Values from the calculation:
DFT total energy: -68.560 eV for the cell shown
mass density: 8.6 g/cm3
space group: Cmmm, No. 65

Lattice parameters (Å, degrees): 13.071 13.071 3.285 90.00 90.00 165.38
Fractional positions:
Zr: 0.197 0.803 0.000
Zr: 0.803 0.197 0.000
Ta: 0.500 0.500 0.500
Nb: 0.066 0.934 0.000
Nb: 0.374 0.626 0.500
Nb: 0.626 0.374 0.500
Nb: 0.934 0.066 0.000

***

2.
The following is a DFT calculation (PBE) of crystalline ZrTa4Nb5 at its relaxed geometry.

Values from the calculation:
DFT total energy: -106.176 eV for the cell shown
mass density: 11.4 g/cm3
space group: P4/mmm, No. 123

Lattice parameters (Å, degrees): 3.329 3.329 16.854 90.00 90.00 90.00
Fractional positions:
Zr: 0.000 0.000 0.000
Ta: 0.000 0.000 0.205
Ta: 0.000 0.000 0.403
Ta: 0.000 0.000 0.597
Ta: 0.000 0.000 0.795
Nb: 0.500 0.500 0.111
Nb: 0.500 0.500 0.304
Nb: 0.500 0.500 0.500
Nb: 0.500 0.500 0.696
Nb: 0.500 0.500 0.889

***

3.
The following is a DFT calculation (PBE) of crystalline ZrTa2Nb at its relaxed geometry.

Values from the calculation:
DFT total energy: -79.365 eV for the cell shown
mass density: 11.1 g/cm3
space group: I-42d, No. 122

Lattice parameters (Å, degrees): 6.060 6.060 6.060 102.86 102.86 123.70
Fractional positions:
Zr: 0.000 0.000 0.000
Zr: 0.750 0.250 0.500
Ta: 0.139 0.625 0.014
Ta: 0.375 0.389 0.514
Ta: 0.611 0.125 0.986
Ta: 0.875 0.861 0.486
Nb: 0.250 0.750 0.500
Nb: 0.500 0.500 0.000

***

4.
The following is a DFT calculation (PBE) of crystalline Zr2TaNb5 at its relaxed geometry.

Values from the calculation:
DFT total energy: -78.987 eV for the cell shown
mass density: 8.9 g/cm3
space group: I4/mmm, No. 139

Lattice parameters (Å, degrees): 7.664 7.664 7.664 143.91 143.91 51.96
Fractional positions:
Zr: 0.248 0.248 0.000
Zr: 0.752 0.752 0.000
Ta: 0.000 0.000 0.000
Nb: 0.114 0.614 0.500
Nb: 0.386 0.886 0.500
Nb: 0.500 0.500 0.000
Nb: 0.614 0.114 0.500
Nb: 0.886 0.386 0.500

***

5.
The following is a DFT calculation (PBE) of crystalline ZrTa3Nb4 at its relaxed geometry.

Values from the calculation:
DFT total energy: -84.144 eV for the cell shown
mass density: 11.1 g/cm3
space group: P4/mmm, No. 123

Lattice parameters (Å, degrees): 4.718 4.718 6.743 90.00 90.00 90.00
Fractional positions:
Zr: 0.000 0.000 0.000
Ta: 0.000 0.000 0.500
Ta: 0.500 0.500 0.000
Ta: 0.500 0.500 0.500
Nb: 0.000 0.500 0.259
Nb: 0.000 0.500 0.741
Nb: 0.500 0.000 0.259
Nb: 0.500 0.000 0.741

***

6.
The following is a DFT calculation (PBE) of crystalline ZrTa6Nb12 at its relaxed geometry.

Values from the calculation:
DFT total energy: -195.203 eV for the cell shown
mass density: 10.3 g/cm3
space group: R-3m, No. 166

Lattice parameters (Å, degrees): 7.342 7.342 7.342 100.93 100.93 100.93
Fractional positions:
Zr: 0.000 0.000 0.000
Ta: 0.101 0.101 0.670
Ta: 0.101 0.670 0.101
Ta: 0.330 0.899 0.899
Ta: 0.670 0.101 0.101
Ta: 0.899 0.330 0.899
Ta: 0.899 0.899 0.330
Nb: 0.068 0.326 0.326
Nb: 0.244 0.500 0.756
Nb: 0.244 0.756 0.500
Nb: 0.326 0.068 0.326
Nb: 0.326 0.326 0.068
Nb: 0.500 0.244 0.756
Nb: 0.500 0.756 0.244
Nb: 0.674 0.674 0.932
Nb: 0.674 0.932 0.674
Nb: 0.756 0.244 0.500
Nb: 0.756 0.500 0.244
Nb: 0.932 0.674 0.674

***

7.
The following is a DFT calculation (PBE) of crystalline ZrTa2Nb2 at its relaxed geometry.

Values from the calculation:
DFT total energy: -52.004 eV for the cell shown
mass density: 11.1 g/cm3
space group: C2/m, No. 12

Lattice parameters (Å, degrees): 4.775 4.775 5.566 115.42 115.42 59.72
Fractional positions:
Zr: 0.000 0.000 0.000
Ta: 0.403 0.403 0.210
Ta: 0.597 0.597 0.790
Nb: 0.202 0.202 0.607
Nb: 0.798 0.798 0.393

***

8.
The following is a DFT calculation (PBE) of crystalline ZrTa12Nb6 at its relaxed geometry.

Values from the calculation:
DFT total energy: -205.480 eV for the cell shown
mass density: 12.7 g/cm3
space group: R-3m, No. 166

Lattice parameters (Å, degrees): 7.351 7.351 7.351 101.70 101.70 101.70
Fractional positions:
Zr: 0.000 0.000 0.000
Ta: 0.073 0.331 0.331
Ta: 0.247 0.500 0.753
Ta: 0.247 0.753 0.500
Ta: 0.331 0.073 0.331
Ta: 0.331 0.331 0.073
Ta: 0.500 0.247 0.753
Ta: 0.500 0.753 0.247
Ta: 0.669 0.669 0.927
Ta: 0.669 0.927 0.669
Ta: 0.753 0.247 0.500
Ta: 0.753 0.500 0.247
Ta: 0.927 0.669 0.669
Nb: 0.098 0.098 0.670
Nb: 0.098 0.670 0.098
Nb: 0.330 0.902 0.902
Nb: 0.670 0.098 0.098
Nb: 0.902 0.330 0.902
Nb: 0.902 0.902 0.330